# 1
Below is a relaxed OsN2 crystal, with properties calculated at the PBE level.

Structure (CIF):
```
data_OsN2
_cell_length_a 4.944
_cell_length_b 4.928
_cell_length_c 4.976
_cell_angle_alpha 90.00
_cell_angle_beta 112.57
_cell_angle_gamma 90.00
_symmetry_space_group_name_H-M 'P 1 21/c 1'
_symmetry_Int_Tables_number 14
loop_
_symmetry_equiv_pos_as_xyz
'x,y,z'
'-x,-y,-z'
'-x,y+1/2,-z+1/2'
'x,-y+1/2,z+1/2'
loop_
_atom_site_label
_atom_site_fract_x
_atom_site_fract_y
_atom_site_fract_z
_atom_site_occupancy
Os1 0.233 0.002 0.222 1
N1 0.193 0.598 0.306 1
N2 0.322 0.091 0.675 1
```

Results
**Energy above the most stable polymorph in this dataset**: 0.695 eV per formula unit
**Electronic total energy**: -8.77 eV/atom



# 2
Below is a relaxed OsN crystal, with properties calculated at the PBE level.

Structure (CIF):
```
data_OsN
_cell_length_a 4.599
_cell_length_b 4.599
_cell_length_c 4.599
_cell_angle_alpha 90.00
_cell_angle_beta 90.00
_cell_angle_gamma 90.00
_symmetry_space_group_name_H-M 'F -4 3 m'
_symmetry_Int_Tables_number 216
_symmetry_space_group_name_Hall 'F -4 2 3'
loop_
_atom_site_label
_atom_site_fract_x
_atom_site_fract_y
_atom_site_fract_z
_atom_site_occupancy
Os1 0.000 0.000 0.000 1
N1 0.250 0.250 0.250 1
```

Results
**Energy above the most stable polymorph in this dataset**: 0.509 eV per formula unit
**Electronic total energy**: -9.11 eV/atom